<w>
VASP calculation (PBE) on crystalline Mg6MnNb at its relaxed geometry.

Properties
N(E_F) = 0.7300 states/eV per atom
Symmetry = Amm2 (38)

a b c (Å): 6.277 6.277 4.934
angles (deg): 90.00 90.00 123.72
Each line ends with the local moment (μB).
Positions (direct):
Mg 0.826 0.674 0.500  -0.01
Mg 0.326 0.174 0.500  -0.01
Mg 0.661 0.830 0.000  -0.01
Mg 0.170 0.339 0.000  -0.01
Mg 0.685 0.315 0.000  -0.01
Mg 0.175 0.825 0.000  0.01
Mn 0.834 0.166 0.500  3.58
Nb 0.323 0.677 0.500  -0.87

---

<x>
VASP calculation (PBE) on crystalline Mg6MnNb at its relaxed geometry.

Properties
N(E_F) = 0.6057 states/eV per atom
Symmetry = Amm2 (38)

a b c (Å): 6.303 6.303 4.822
angles (deg): 90.00 90.00 122.78
Each line ends with the local moment (μB).
Positions (direct):
Mg 0.181 0.337 0.000  -0.01
Mg 0.663 0.819 0.000  -0.01
Mg 0.674 0.326 0.000  -0.01
Mg 0.320 0.169 0.500  0.00
Mg 0.831 0.680 0.500  0.00
Mg 0.831 0.169 0.500  0.01
Mn 0.193 0.807 0.000  3.30
Nb 0.308 0.692 0.500  -0.79

---

Energy relative to the most stable one, in meV/atom: <w> 46; <x> 0

---

<w>
VASP calculation (PBE) on crystalline MgMnNi at its relaxed geometry.

Properties
N(E_F) = 0.5032 states/eV per atom
Symmetry = F-43m (216)

a b c (Å): 4.165 4.165 4.165
angles (deg): 60.00 60.00 60.00
Each line ends with the local moment (μB).
Positions (direct):
Mg 0.000 0.000 0.000  -0.02
Mn 0.500 0.500 0.500  3.75
Ni 0.750 0.750 0.750  0.42

---

<x>
VASP calculation (PBE) on crystalline MgMnNi at its relaxed geometry.

Properties
N(E_F) = 0.6650 states/eV per atom
Symmetry = I4mm (107)

a b c (Å): 5.195 5.195 3.072
angles (deg): 72.80 72.80 34.39
Each line ends with the local moment (μB).
Positions (direct):
Mg 0.991 0.991 0.009  -0.02
Mn 0.692 0.692 0.308  3.54
Ni 0.318 0.318 0.682  0.58

---

<y>
VASP calculation (PBE) on crystalline MgMnNi at its relaxed geometry.

Properties
N(E_F) = 0.6566 states/eV per atom
Symmetry = P3m1 (156)

a b c (Å): 4.255 4.255 2.752
angles (deg): 90.00 90.00 120.00
Each line ends with the local moment (μB).
Positions (direct):
Mg 0.000 0.000 0.985  -0.03
Mn 0.333 0.667 0.410  3.40
Ni 0.667 0.333 0.606  0.58

---

Energy relative to the most stable one, in meV/atom: <w> 243; <x> 0; <y> 76

---

<w>
VASP calculation (PBE) on crystalline Mg2MnNi at its relaxed geometry.

Properties
N(E_F) = 0.6052 states/eV per atom
Symmetry = F-43m (216)

a b c (Å): 4.430 4.430 4.430
angles (deg): 60.00 60.00 60.00
Each line ends with the local moment (μB).
Positions (direct):
Mg 0.000 0.000 0.000  -0.04
Mg 0.250 0.250 0.250  -0.03
Mn 0.500 0.500 0.500  3.42
Ni 0.750 0.750 0.750  0.37

---

<x>
VASP calculation (PBE) on crystalline Mg2MnNi at its relaxed geometry.

Properties
N(E_F) = 0.7083 states/eV per atom
Symmetry = Cmmm (65)

a b c (Å): 4.650 4.650 2.953
angles (deg): 89.95 89.95 103.38
Each line ends with the local moment (μB).
Positions (direct):
Mg 0.000 0.000 0.000  -0.03
Mg 0.500 0.500 0.000  -0.03
Mn 0.500 0.000 0.500  3.24
Ni 0.000 0.500 0.500  0.22

---

Energy relative to the most stable one, in meV/atom: <w> 0; <x> 56

---

<w>
VASP calculation (PBE) on crystalline Mg2MnNi at its relaxed geometry.

Properties
N(E_F) = 0.6576 states/eV per atom
Symmetry = Cm (8)

a b c (Å): 5.294 5.294 4.538
angles (deg): 64.26 64.26 34.62
Each line ends with the local moment (μB).
Positions (direct):
Mg 0.025 0.025 0.975  -0.02
Mg 0.243 0.243 0.258  -0.02
Mn 0.468 0.468 0.532  3.46
Ni 0.765 0.765 0.736  0.49

---

<x>
VASP calculation (PBE) on crystalline Mg2MnNi at its relaxed geometry.

Properties
N(E_F) = 0.4588 states/eV per atom
Symmetry = Fm-3m (225)

a b c (Å): 4.445 4.445 4.445
angles (deg): 60.00 60.00 60.00
Each line ends with the local moment (μB).
Positions (direct):
Ni 0.500 0.500 0.500  0.19
Mg 0.250 0.250 0.250  -0.03
Mg 0.750 0.750 0.750  -0.03
Mn 0.000 0.000 0.000  3.51

---

Energy relative to the most stable one, in meV/atom: <w> 0; <x> 34

---

<w>
VASP calculation (PBE) on crystalline Mg2MnNi at its relaxed geometry.

Properties
N(E_F) = 0.4626 states/eV per atom
Symmetry = P4mm (99)

a b c (Å): 3.088 3.088 6.955
angles (deg): 90.00 90.00 90.00
Each line ends with the local moment (μB).
Positions (direct):
Mg 0.000 0.000 0.952  0.00
Mg 0.500 0.500 0.283  -0.02
Mn 0.000 0.000 0.547  3.49
Ni 0.500 0.500 0.717  0.57

---

<x>
VASP calculation (PBE) on crystalline Mg2MnNi at its relaxed geometry.

Properties
N(E_F) = 0.7568 states/eV per atom
Symmetry = Pm (6)

a b c (Å): 4.246 2.866 5.497
angles (deg): 74.57 90.00 90.00
Each line ends with the local moment (μB).
Positions (direct):
Mg 0.000 0.957 0.958  -0.02
Mg 0.500 0.294 0.289  -0.02
Mn 0.000 0.683 0.508  3.30
Ni 0.500 0.566 0.745  0.39

---

Energy relative to the most stable one, in meV/atom: <w> 0; <x> 103

---

<w>
VASP calculation (PBE) on crystalline Mg2MnNi at its relaxed geometry.

Properties
N(E_F) = 0.7496 states/eV per atom
Symmetry = I-42d (122)

a b c (Å): 7.203 7.203 5.759
angles (deg): 51.29 51.29 90.00
Each line ends with the local moment (μB).
Positions (direct):
Ni 0.000 0.000 0.000  0.17
Ni 0.750 0.250 0.500  0.17
Mg 0.660 0.125 0.250  -0.03
Mg 0.090 0.625 0.250  -0.03
Mg 0.375 0.340 0.750  -0.03
Mg 0.875 0.910 0.750  -0.03
Mn 0.500 0.500 0.000  3.74
Mn 0.250 0.750 0.500  3.74

---

<x>
VASP calculation (PBE) on crystalline Mg2MnNi at its relaxed geometry.

Properties
N(E_F) = 0.8274 states/eV per atom
Symmetry = Pmmm (47)

a b c (Å): 3.187 3.040 6.400
angles (deg): 90.00 90.00 90.00
Each line ends with the local moment (μB).
Positions (direct):
Mg 0.000 0.000 0.979  -0.02
Mg 0.000 0.000 0.521  -0.02
Mn 0.500 0.500 0.250  3.37
Ni 0.500 0.500 0.750  -0.03

---

Energy relative to the most stable one, in meV/atom: <w> 310; <x> 0